An optimized crystal structure of Li2ZrTc, computed with PBEsol.

Structure (POSCAR):
```
Li2ZrTc
1.0
-0.232 -2.686 0.378
1.733 -1.297 1.650
-5.823 0.336 8.627
Li Zr Tc
2 1 1
direct
0.241 0.241 0.276
0.759 0.759 0.724
0.000 0.000 0.000
0.500 0.500 0.500
```

Summary:
Space group: R-3m
M_tot in μB/f.u.: 0.000
VASP energy in eV per cell: -22.8
Theoretical density in kg/m³: 5106
Energy above the most stable polymorph in this dataset in eV per atom: 0.219
Crystal system: trigonal
Energy of formation in eV per atom: 0.37

---

An optimized crystal structure of KScHg, computed with PBEsol.

Structure (POSCAR):
```
KScHg
1.0
5.019 0.000 0.000
2.509 4.346 0.000
2.509 1.449 4.098
Sc K Hg
1 1 1
direct
0.250 0.250 0.250
0.500 0.500 0.500
0.000 0.000 0.000
```

Summary:
Space group: F-43m
M_tot in μB/f.u.: 1.039
VASP energy in eV per cell: -6.7
Theoretical density in kg/m³: 5288
Energy above the most stable polymorph in this dataset in eV per atom: 0.238
Crystal system: cubic
Energy of formation in eV per atom: 0.54

---

An optimized crystal structure of NaAl2TcMo, computed with PBEsol.

Structure (POSCAR):
```
NaAl2TcMo
1.0
-1.149 3.382 -2.932
-4.428 -0.417 1.256
0.689 3.287 3.521
Tc Al Mo Na
1 2 1 1
direct
0.000 0.000 0.000
0.000 0.500 0.000
0.500 0.000 0.000
0.500 0.500 0.500
0.000 0.000 0.500
```

Summary:
Space group: P4/mmm
M_tot in μB/f.u.: 3.276
VASP energy in eV per cell: -25.5
Theoretical density in kg/m³: 4328
Energy above the most stable polymorph in this dataset in eV per atom: 0.757
Crystal system: tetragonal
Energy of formation in eV per atom: 1.43

---

An optimized crystal structure of Re2PtCl, computed with PBEsol.

Structure (POSCAR):
```
Re2PtCl
1.0
-1.481 1.818 1.366
-2.376 -4.115 1.365
4.723 0.725 2.225
Cl Pt Re
1 1 2
direct
0.500 0.000 0.000
0.000 0.500 0.000
0.000 0.000 0.500
0.500 0.500 0.500
```

Summary:
Space group: C2/m
M_tot in μB/f.u.: 0.001
Raw formation energy in eV/atom: 1.046
VASP energy in eV per cell: -31.5
Theoretical density in kg/m³: 16536
Energy above the most stable polymorph in this dataset in eV per atom: 0.559
Crystal system: monoclinic

---

An optimized crystal structure of Ta3Fe5, computed with PBEsol.

Structure (POSCAR):
```
Ta3Fe5
1.0
4.196 0.000 0.000
0.000 5.124 0.023
0.000 -1.671 4.843
Ta Fe
3 5
direct
0.500 0.235 0.765
0.000 0.500 0.500
0.500 0.765 0.235
0.000 0.500 0.000
0.000 0.000 0.000
0.500 0.740 0.740
0.000 0.000 0.500
0.500 0.260 0.260
```

Summary:
Space group: Cmmm
M_tot in μB/f.u.: 5.785
VASP energy in eV per cell: -83.4
Theoretical density in kg/m³: 13088
Crystal system: orthorhombic
Energy of formation in eV per atom: -0.12

---

An optimized crystal structure of BeRe2W, computed with PBEsol.

Structure (POSCAR):
```
BeRe2W
1.0
-1.525 -1.845 1.204
4.201 -1.389 2.065
-2.039 4.310 1.603
Re W Be
2 1 1
direct
0.000 0.000 0.500
0.500 0.500 0.500
0.500 0.000 0.000
0.000 0.500 0.000
```

Summary:
Space group: C2/m
M_tot in μB/f.u.: 0.003
VASP energy in eV per cell: -43.6
Theoretical density in kg/m³: 16898
Crystal system: monoclinic
Energy of formation in eV per atom: 0.23

---

An optimized crystal structure of Ca7ZrN6, computed with PBEsol.

Structure (POSCAR):
```
Ca7ZrN6
1.0
-3.203 3.431 -4.246
-7.619 -4.525 -2.626
-6.616 4.883 4.220
Ca Zr N
14 2 12
direct
0.009 0.651 0.105
0.281 0.957 0.043
0.509 0.605 0.151
0.491 0.395 0.849
0.250 0.250 0.250
0.781 0.543 0.457
0.265 0.849 0.395
0.719 0.043 0.957
0.219 0.457 0.543
0.735 0.151 0.605
0.750 0.750 0.750
0.765 0.895 0.349
0.235 0.105 0.651
0.991 0.349 0.895
0.250 0.750 0.750
0.750 0.250 0.250
0.379 0.157 0.843
0.372 0.720 0.937
0.128 0.563 0.780
0.879 0.343 0.657
0.628 0.280 0.063
0.471 0.220 0.437
0.529 0.780 0.563
0.121 0.657 0.343
0.971 0.937 0.720
0.872 0.437 0.220
0.621 0.843 0.157
0.029 0.063 0.280
```

Summary:
Space group: Ibam
M_tot in μB/f.u.: 0.000
Raw formation energy in eV/atom: -1.072
VASP energy in eV per cell: -180.4
Theoretical density in kg/m³: 3186
Crystal system: orthorhombic

---

An optimized crystal structure of BaPd, computed with PBEsol.

Structure (POSCAR):
```
BaPd
1.0
4.409 0.000 0.000
0.000 4.594 0.000
-2.204 0.000 5.805
Pd Ba
2 2
direct
0.433 0.250 0.866
0.567 0.750 0.134
0.860 0.750 0.720
0.140 0.250 0.280
```

Summary:
Space group: Cmcm
M_tot in μB/f.u.: 0.000
VASP energy in eV per cell: -18.1
Theoretical density in kg/m³: 6884
Crystal system: orthorhombic
Energy of formation in eV per atom: -0.47